# GGA-PBEsol CuBi2B, relaxed
data_CuBi2B
_cell_length_a 5.9239
_cell_length_b 6.7583
_cell_length_c 5.9239
_cell_angle_alpha 64.01
_cell_angle_beta 90.00
_cell_angle_gamma 115.99
_symmetry_space_group_name_H-M 'P 1'
_symmetry_Int_Tables_number 1
_symmetry_space_group_name_Hall 'P 1'
loop_
_atom_site_label
_atom_site_fract_x
_atom_site_fract_y
_atom_site_fract_z
B1 0.2500 0.5000 0.2500
B2 0.5000 0.0000 0.5000
Bi1 0.1563 0.7500 0.8750
Bi2 0.5937 0.7500 0.3750
Bi3 0.3750 0.2500 0.1563
Bi4 0.8750 0.2500 0.5937
Cu1 0.7500 0.5000 0.7500
Cu2 0.0000 0.0000 0.0000
# DOS at the Fermi energy: 3.26 states/eV/cell
# SG: I-42d (122)
# calculated volume: 23.26 Å³ per atom
# formation energy: 0.662 eV per atom
# E_tot: -4.319 eV per atom

---

# GGA-PBEsol CuBi3B, relaxed
data_CuBi3B
_cell_length_a 4.9287
_cell_length_b 4.9287
_cell_length_c 4.9287
_cell_angle_alpha 90.00
_cell_angle_beta 90.00
_cell_angle_gamma 90.00
_symmetry_space_group_name_H-M 'P 1'
_symmetry_Int_Tables_number 1
_symmetry_space_group_name_Hall 'P 1'
loop_
_atom_site_label
_atom_site_fract_x
_atom_site_fract_y
_atom_site_fract_z
B1 0.0000 0.0000 0.0000
Bi1 0.0000 0.5000 0.0000
Bi2 0.0000 0.0000 0.5000
Bi3 0.5000 0.0000 0.0000
Cu1 0.5000 0.5000 0.5000
# DOS at the Fermi energy: 3.07 states/eV/cell
# SG: Pm-3m (221)
# calculated volume: 23.95 Å³ per atom
# formation energy: 0.971 eV per atom
# E_tot: -3.870 eV per atom

---

# GGA-PBEsol BiBF2, relaxed
data_BiBF2
_cell_length_a 4.2466
_cell_length_b 4.2466
_cell_length_c 4.2466
_cell_angle_alpha 60.00
_cell_angle_beta 60.00
_cell_angle_gamma 60.00
_symmetry_space_group_name_H-M 'P 1'
_symmetry_Int_Tables_number 1
_symmetry_space_group_name_Hall 'P 1'
loop_
_atom_site_label
_atom_site_fract_x
_atom_site_fract_y
_atom_site_fract_z
B1 0.0000 0.0000 0.0000
Bi1 0.5000 0.5000 0.5000
F1 0.2500 0.2500 0.2500
F2 0.7500 0.7500 0.7500
# DOS at the Fermi energy: 2.83 states/eV/cell
# SG: Fm-3m (225)
# calculated volume: 13.54 Å³ per atom
# E_tot: -3.936 eV per atom
# energy relative to the elements, uncorrected: -0.1467 eV per atom

---

# GGA-PBEsol BiBF2, relaxed
data_BiBF2
_cell_length_a 3.3761
_cell_length_b 3.3761
_cell_length_c 7.2437
_cell_angle_alpha 76.52
_cell_angle_beta 76.52
_cell_angle_gamma 60.00
_symmetry_space_group_name_H-M 'P 1'
_symmetry_Int_Tables_number 1
_symmetry_space_group_name_Hall 'P 1'
loop_
_atom_site_label
_atom_site_fract_x
_atom_site_fract_y
_atom_site_fract_z
B1 0.5000 0.5000 0.5000
Bi1 0.0000 0.0000 0.0000
F1 0.8903 0.8903 0.3291
F2 0.1097 0.1097 0.6709
# DOS at the Fermi energy: 0.69 states/eV/cell
# SG: R-3m (166)
# calculated volume: 17.22 Å³ per atom
# E_tot: -3.998 eV per atom
# energy relative to the elements, uncorrected: -0.2088 eV per atom